Record 1
Material: La2Co2SnGeC
Method: DFT, PBE-GGA
State: relaxed

Cell: 6.0541 6.0541 7.3638 Å, 126.25 126.25 40.91°
Fractional coordinates of all 7 atoms:
La1 0.4469 0.4469 0.1761
Sn1 0.8320 0.8320 0.3876
La2 0.5592 0.5592 0.8213
C1 0.9961 0.9961 0.9964
Co1 0.8138 0.8138 0.7238
Ge1 0.1796 0.1796 0.6174
Co2 0.1725 0.1725 0.2776

Values from the calculation:
Its calculated total energy is -6.497 eV per atom.

---

Record 2
Material: TaBe2Tc
Method: DFT, PBE-GGA
State: relaxed

Cell: 4.2015 4.2015 4.2015 Å, 60.00 60.00 60.00°
Fractional coordinates of all 4 atoms:
Be1 0.5000 0.5000 0.5000
Be2 0.7500 0.7500 0.7500
Tc1 0.2500 0.2500 0.2500
Ta1 0.0000 0.0000 0.0000

Values from the calculation:
Its calculated total energy is -7.335 eV per atom.

---

Record 3
Material: Zr2ZnPd3
Method: DFT, PBE-GGA
State: relaxed

Cell: 3.4897 3.4897 8.6327 Å, 90.00 90.00 90.00°
Fractional coordinates of all 6 atoms:
Pd1 0.0000 0.0000 0.8456
Zn1 0.0000 0.0000 0.1740
Zr1 0.5000 0.5000 0.9927
Pd2 0.5000 0.5000 0.6602
Zr2 0.0000 0.0000 0.5063
Pd3 0.5000 0.5000 0.3211

Values from the calculation:
As for the formation energy from the elements: -684 meV per atom.

---

Record 4
Material: Er2TmAs3
Method: DFT, PBE-GGA
State: relaxed

Cell: 4.0651 4.0651 9.9888 Å, 90.00 90.00 120.00°
Fractional coordinates of all 6 atoms:
As1 0.0000 0.0000 0.0000
As2 0.6667 0.3333 0.6664
As3 0.3333 0.6667 0.3336
Tm1 0.0000 0.0000 0.5000
Er1 0.3333 0.6667 0.8333
Er2 0.6667 0.3333 0.1667

Values from the calculation:
Its calculated total energy is -6.106 eV per atom.

---

Record 5
Material: ScPtNO
Method: DFT, PBE-GGA
State: relaxed

Cell: 3.7673 4.9846 6.0281 Å, 90.00 90.00 90.00°
Fractional coordinates of all 8 atoms:
Sc1 0.5000 0.0031 0.1825
O1 0.5000 0.9002 0.8608
Pt1 0.0000 0.9967 0.5855
N1 0.0000 0.8540 0.2756
O2 0.5000 0.4002 0.1391
Sc2 0.5000 0.5031 0.8175
N2 0.0000 0.3540 0.7244
Pt2 0.0000 0.4967 0.4145

Values from the calculation:
The energy above the most stable polymorph in this dataset is 338.0 meV per atom.

---

Record 6
Material: Hf2TcMo
Method: DFT, PBE-GGA
State: relaxed

Cell: 4.6366 4.6366 4.6366 Å, 60.00 60.00 60.00°
Fractional coordinates of all 4 atoms:
Mo1 0.2500 0.2500 0.2500
Hf1 0.7500 0.7500 0.7500
Hf2 0.0000 0.0000 0.0000
Tc1 0.5000 0.5000 0.5000

Values from the calculation:
As for the formation energy from the elements: -29 meV per atom.

---

Record 7
Material: CsAg3OsSe4
Method: DFT, PBE-GGA
State: relaxed

Cell: 6.6137 6.6137 6.6137 Å, 90.00 90.00 90.00°
Fractional coordinates of all 9 atoms:
Se1 0.7078 0.2922 0.7078
Ag1 0.5000 0.0000 0.5000
Cs1 0.0000 0.0000 0.0000
Ag2 0.5000 0.5000 0.0000
Se2 0.2922 0.2922 0.2922
Os1 0.5000 0.5000 0.5000
Ag3 0.0000 0.5000 0.5000
Se3 0.2922 0.7078 0.7078
Se4 0.7078 0.7078 0.2922

Values from the calculation:
Its calculated total energy is -3.935 eV per atom.

---

Record 8
Material: Ba13Zn4
Method: DFT, PBE-GGA
State: relaxed

Cell: 13.0030 13.0030 11.7047 Å, 113.27 113.27 25.57°
Fractional coordinates of all 17 atoms:
Ba1 0.0723 0.0723 0.5748
Ba2 0.2122 0.2122 0.5182
Zn1 0.0018 0.0018 0.2208
Ba3 0.4135 0.4135 0.6357
Ba4 0.5989 0.5989 0.8034
Ba5 0.9277 0.9277 0.4252
Ba6 0.4011 0.4011 0.1966
Ba7 0.5865 0.5865 0.3643
Ba8 0.5000 0.5000 0.0000
Ba9 0.8670 0.8670 0.8768
Zn2 0.9982 0.9982 0.7792
Zn3 0.7008 0.7008 0.6701
Zn4 0.2992 0.2992 0.3299
Ba10 0.7593 0.7593 0.1395
Ba11 0.7878 0.7878 0.4818
Ba12 0.1330 0.1330 0.1232
Ba13 0.2407 0.2407 0.8605

Values from the calculation:
Its calculated total energy is -1.738 eV per atom.

---

Record 9
Material: TmOsNO
Method: DFT, PBE-GGA
State: relaxed

Cell: 4.8448 4.8448 4.2020 Å, 90.00 90.00 90.00°
Fractional coordinates of all 8 atoms:
Os1 0.5000 0.5000 0.9990
N1 0.5000 0.5000 0.4990
Tm1 0.0000 0.5000 0.5000
Tm2 0.5000 0.0000 0.5000
O1 0.0000 0.5000 0.0000
Os2 0.0000 0.0000 0.0010
N2 0.0000 0.0000 0.5010
O2 0.5000 0.0000 0.0000

Values from the calculation:
The energy above the most stable polymorph in this dataset is 754.8 meV per atom.

---

Record 10
Material: RbNaMoPt
Method: DFT, PBE-GGA
State: relaxed

Cell: 5.0907 5.0907 5.0907 Å, 60.00 60.00 60.00°
Fractional coordinates of all 4 atoms:
Na1 0.7500 0.7500 0.7500
Mo1 0.2500 0.2500 0.2500
Rb1 0.5000 0.5000 0.5000
Pt1 0.0000 0.0000 0.0000

Values from the calculation:
The energy above the most stable polymorph in this dataset is 0.0 meV per atom.

---

Record 11
Material: ZrSc
Method: DFT, PBE-GGA
State: relaxed

Cell: 8.5896 6.4793 5.1376 Å, 90.00 90.00 100.84°
Fractional coordinates of all 12 atoms:
Zr1 0.2222 0.5552 0.5000
Zr2 0.3272 0.8319 0.0000
Sc1 0.6729 0.1656 0.0000
Zr3 0.2224 0.0556 0.5000
Zr4 0.9998 0.0000 0.0000
Zr5 0.0000 0.5004 0.0000
Sc2 0.6714 0.6707 0.0000
Sc3 0.8929 0.7233 0.5000
Sc4 0.5508 0.3849 0.5000
Zr6 0.8950 0.2237 0.5000
Sc5 0.5493 0.8899 0.5000
Sc6 0.3293 0.3322 0.0000

Values from the calculation:
As for the formation energy from the elements: -19 meV per atom.

---

Record 12
Material: ErZnNi
Method: DFT, PBE-GGA
State: relaxed

Cell: 6.8000 6.8000 3.9051 Å, 90.00 90.00 120.00°
Fractional coordinates of all 9 atoms:
Ni1 0.0000 0.2359 0.5000
Er1 0.0000 0.5882 0.0000
Zn1 0.0000 0.0000 0.0000
Ni2 0.2359 0.0000 0.5000
Zn2 0.6667 0.3333 0.5000
Er2 0.4118 0.4118 0.0000
Er3 0.5882 0.0000 0.0000
Zn3 0.3333 0.6667 0.5000
Ni3 0.7641 0.7641 0.5000

Values from the calculation:
As for the formation energy from the elements: -317 meV per atom.

---

Record 13
Material: NaBeTcOs
Method: DFT, PBE-GGA
State: relaxed

Cell: 4.2509 4.2509 4.2509 Å, 60.00 60.00 60.00°
Fractional coordinates of all 4 atoms:
Os1 0.2500 0.2500 0.2500
Tc1 0.5000 0.5000 0.5000
Na1 0.7500 0.7500 0.7500
Be1 0.0000 0.0000 0.0000

Values from the calculation:
The energy above the most stable polymorph in this dataset is 0.0 meV per atom.

---

Record 14
Material: K3Pd3N2
Method: DFT, PBE-GGA
State: relaxed

Cell: 6.6985 6.6985 6.6985 Å, 49.17 49.17 49.17°
Fractional coordinates of all 8 atoms:
Pd1 0.5000 0.5000 0.0000
K1 0.8982 0.8982 0.8982
K2 0.1018 0.1018 0.1018
N1 0.7396 0.7396 0.7396
Pd2 0.5000 0.0000 0.5000
Pd3 0.0000 0.5000 0.5000
N2 0.2604 0.2604 0.2604
K3 0.5000 0.5000 0.5000

Values from the calculation:
Its calculated total energy is -4.379 eV per atom.

---

Record 15
Material: ThTcB4
Method: DFT, PBE-GGA
State: relaxed

Cell: 5.0277 5.0277 5.0277 Å, 143.13 115.30 76.86°
Fractional coordinates of all 6 atoms:
B1 0.0811 0.7487 0.3324
B2 0.9189 0.2513 0.6676
B3 0.5837 0.2513 0.3324
Th1 0.5000 0.5000 0.0000
Tc1 0.0000 0.0000 0.0000
B4 0.4163 0.7487 0.6676

Values from the calculation:
The energy above the most stable polymorph in this dataset is 167.3 meV per atom.

---

Record 16
Material: Ta4AuSN2
Method: DFT, PBE-GGA
State: relaxed

Cell: 3.2334 3.2334 12.4684 Å, 90.00 90.00 120.00°
Fractional coordinates of all 8 atoms:
Ta1 0.0000 0.0000 0.6766
Ta2 0.0000 0.0000 0.3234
N1 0.3333 0.6667 0.2395
Ta3 0.6667 0.3333 0.1448
N2 0.3333 0.6667 0.7605
Ta4 0.6667 0.3333 0.8552
Au1 0.6667 0.3333 0.5000
S1 0.0000 0.0000 0.0000

Values from the calculation:
Its calculated total energy is -9.544 eV per atom.

---

Record 17
Material: GdZrPO
Method: DFT, PBE-GGA
State: relaxed

Cell: 4.0747 4.0747 8.3056 Å, 90.00 90.00 90.00°
Fractional coordinates of all 8 atoms:
Zr1 0.0000 0.5000 0.1156
O1 0.5000 0.5000 0.0000
Gd1 0.5000 0.5000 0.5000
P1 0.0000 0.5000 0.7333
P2 0.5000 0.0000 0.2667
Zr2 0.5000 0.0000 0.8844
O2 0.0000 0.0000 0.0000
Gd2 0.0000 0.0000 0.5000

Values from the calculation:
The energy above the most stable polymorph in this dataset is 567.0 meV per atom.

---

Record 18
Material: NdDyZn2Pb2
Method: DFT, PBE-GGA
State: relaxed

Cell: 4.6393 4.6393 16.2587 Å, 90.00 90.00 120.00°
Fractional coordinates of all 12 atoms:
Zn1 0.3333 0.6667 0.3380
Zn2 0.6667 0.3333 0.6620
Dy1 0.0000 0.0000 0.5000
Pb1 0.6667 0.3333 0.1077
Zn3 0.6667 0.3333 0.8380
Nd1 0.0000 0.0000 0.2500
Dy2 0.0000 0.0000 0.0000
Zn4 0.3333 0.6667 0.1620
Nd2 0.0000 0.0000 0.7500
Pb2 0.6667 0.3333 0.3923
Pb3 0.3333 0.6667 0.8923
Pb4 0.3333 0.6667 0.6077

Values from the calculation:
The energy above the most stable polymorph in this dataset is 15.0 meV per atom.

---

Record 19
Material: Mg5Sc2Zn
Method: DFT, PBE-GGA
State: relaxed

Cell: 4.9586 6.3831 6.3831 Å, 58.35 90.00 90.00°
Fractional coordinates of all 8 atoms:
Mg1 0.5000 0.1681 0.1681
Sc1 0.0000 0.3282 0.3282
Mg2 0.5000 0.1671 0.6731
Sc2 0.5000 0.6781 0.6781
Mg3 0.0000 0.3290 0.8311
Mg4 0.5000 0.6731 0.1671
Zn1 0.0000 0.8254 0.8254
Mg5 0.0000 0.8311 0.3290

Values from the calculation:
Its calculated total energy is -2.780 eV per atom.

---

Record 20
Material: TaBiN2O
Method: DFT, PBE-GGA
State: relaxed

Cell: 4.0238 5.7566 5.8892 Å, 90.00 90.00 90.00°
Fractional coordinates of all 10 atoms:
N1 0.5000 0.0280 0.2214
N2 0.0000 0.6918 0.0379
Ta1 0.5000 0.7778 0.9825
O1 0.5000 0.5473 0.3247
O2 0.5000 0.4527 0.8247
Bi1 0.0000 0.2934 0.9337
N3 0.5000 0.9720 0.7214
Ta2 0.5000 0.2222 0.4825
Bi2 0.0000 0.7066 0.4337
N4 0.0000 0.3082 0.5379

Values from the calculation:
Its calculated total energy is -8.378 eV per atom.